[1]
MnRuAu2 (PBE, relaxed); distance to the lowest polymorph of the same formula = 0.095 eV/atom; N(E_F) = 0.843 states/eV per atom
1.0
2.949 0.000 0.000
0.000 3.903 0.000
0.000 0.000 5.634
Mn Ru Au
1 1 2
Direct
0.000 0.000 0.000
0.000 0.000 0.500
0.500 0.500 0.248
0.500 0.500 0.752


[2]
MnRuAu2 (PBE, relaxed); distance to the lowest polymorph of the same formula = 0.057 eV/atom; N(E_F) = 1.272 states/eV per atom
1.0
3.960 0.000 0.000
0.000 3.960 0.000
0.000 0.000 4.082
Mn Ru Au
1 1 2
Direct
0.000 0.000 0.000
0.500 0.500 0.000
0.000 0.500 0.500
0.500 0.000 0.500


[3]
MnRu2Au (PBE, relaxed); distance to the lowest polymorph of the same formula = 0.501 eV/atom; N(E_F) = 2.728 states/eV per atom
1.0
6.140 0.000 0.000
0.000 6.140 0.000
0.000 0.000 6.140
Mn Ru Au
4 8 4
Direct
0.000 0.000 0.000
0.000 0.500 0.500
0.500 0.000 0.500
0.500 0.500 0.000
0.250 0.250 0.250
0.250 0.250 0.750
0.250 0.750 0.250
0.250 0.750 0.750
0.750 0.250 0.250
0.750 0.250 0.750
0.750 0.750 0.250
0.750 0.750 0.750
0.000 0.000 0.500
0.000 0.500 0.000
0.500 0.000 0.000
0.500 0.500 0.500


[4]
MnRu2Au (PBE, relaxed); distance to the lowest polymorph of the same formula = 0.093 eV/atom; N(E_F) = 1.188 states/eV per atom
1.0
9.138 0.000 0.000
0.000 2.791 0.000
-1.026 0.000 4.626
Mn Ru Au
2 4 2
Direct
0.000 0.000 0.000
0.500 0.500 0.000
0.235 0.500 0.227
0.265 0.000 0.773
0.735 0.000 0.227
0.765 0.500 0.773
0.000 0.500 0.500
0.500 0.000 0.500


Values for formation enthalpy at 0 K, meV per atom, ordered as above
249 210 646 238
Values for density, g/cm³, ordered as above
14.08 14.27 13.03 12.78